No. 1
Computed, not measured: a relaxed InReAgOs2 crystal at the PBEsol level of DFT.

Values from the calculation:
electronic total energy	-5.65	eV per atom
formation energy	3.165	eV/atom

abc: 4.756 4.756 4.806
angles: 90.00 90.00 90.00
Fractional positions:
In (0.000, 0.000, 0.000)
Re (0.000, 0.000, 0.500)
Ag (0.500, 0.500, 0.500)
Os (0.000, 0.500, 0.000)
Os (0.500, 0.000, 0.000)



No. 2
Computed, not measured: a relaxed In3AgP crystal at the PBEsol level of DFT.

Values from the calculation:
electronic total energy	-3.13	eV per atom
formation energy	0.482	eV/atom

abc: 5.101 5.101 5.101
angles: 90.00 90.00 90.00
Fractional positions:
In (0.000, 0.000, 0.500)
In (0.000, 0.500, 0.000)
In (0.500, 0.000, 0.000)
Ag (0.500, 0.500, 0.500)
P (0.000, 0.000, 0.000)